NaLi2Cr | PBE-GGA | relaxed

The space group is I-42d (No. 122) and the conventional cell measures 7.709, 7.709 and 6.103 Å, with angles of 90.00, 90.00 and 90.00 degrees. Symmetry generates all atoms from Na at (0.000, 0.000, 0.000), Li at (0.240, 0.250, 0.625) and Cr at (0.000, 0.000, 0.500).

The calculation puts the total DFT energy (no corrections) at -3.100 eV/atom. The crystal system is tetragonal. The density of states at the Fermi level is 5.374 states/eV per cell. As for the energy above the most stable polymorph in this dataset: 109.7 meV/atom.